DFT (PBE-GGA) results for Er5Pd4Ru after structural relaxation.

ΔE_f (eV per atom): -0.8481
N(E_F) (states/eV/cell): 5.16
SG: No. 123

```
Er5Pd4Ru
1.0
-2.920 -1.779 -0.268
1.376 -2.538 1.852
-5.921 7.505 14.684
Er Pd Ru
5 4 1
Direct
0.500 0.500 0.094 Er
0.500 0.500 0.297 Er
0.500 0.500 0.500 Er
0.500 0.500 0.703 Er
0.500 0.500 0.906 Er
0.000 0.000 0.199 Pd
0.000 0.000 0.398 Pd
0.000 0.000 0.602 Pd
0.000 0.000 0.801 Pd
0.000 0.000 0.000 Ru
```